Record 1
Compound: ErPa2Te6
Source: Alexandria via LeMat-Bulk
Functional: PBE
Structure: optimized geometry

The structure belongs to space group P4_2/mnm (No. 136); the cell edges are 7.273, 7.273 and 13.221 Å and the angles 90.00°, 90.00° and 90.00°. The inequivalent atoms are Er at (0.000, 0.000, 0.000), Pa at (0.000, 0.000, 0.334), Te at (0.201, 0.201, 0.500) and Te at (0.202, 0.202, 0.168).

The value obtained for the total energy is -5.557 eV/atom. The value obtained for the volume is 699.40 Å³/cell. As for the density: 6.6 g/cm³.

***

Record 2
Compound: TeAsAuS2
Source: Alexandria via LeMat-Bulk
Functional: PBE
Structure: optimized geometry

The structure belongs to space group P4/mmm (No. 123); the cell edges are 4.546, 4.546 and 6.013 Å and the angles 90.00°, 90.00° and 90.00°. The inequivalent atoms are Te at (0.000, 0.000, 0.000), As at (0.000, 0.000, 0.500), Au at (0.500, 0.500, 0.000) and S at (0.000, 0.500, 0.500).

The value obtained for the total energy is -3.230 eV/atom. The value obtained for the volume is 124.25 Å³/cell. As for the density: 6.2 g/cm³.

***

Record 3
Compound: Y2Mg2Ge
Source: Alexandria via LeMat-Bulk
Functional: PBE
Structure: optimized geometry

The structure belongs to space group P4/mbm (No. 127); the cell edges are 7.128, 7.128 and 4.931 Å and the angles 90.00°, 90.00° and 90.00°. The inequivalent atoms are Y at (0.168, 0.332, 0.000), Mg at (0.138, 0.638, 0.500) and Ge at (0.000, 0.000, 0.500).

The value obtained for the total energy is -4.345 eV/atom. Its formation energy is -4.56 kcal/mol of atoms. The value obtained for the volume is 250.55 Å³/cell. As for the density: 4.0 g/cm³.